# 1
A plane-wave DFT calculation with GGA-PBEsol was carried out for a relaxed structure of UFe4P12.

```
UFe4P12
1.0
-0.058 5.712 -3.401
-6.125 -1.319 2.221
4.160 0.534 5.158
U Fe P
1 4 12
Direct
0.000 0.000 0.000
0.000 0.500 0.000
0.000 0.000 0.500
0.500 0.500 0.500
0.500 0.000 0.000
0.348 0.848 0.196
0.348 0.152 0.501
0.652 0.848 0.499
0.848 0.196 0.348
0.499 0.652 0.848
0.652 0.152 0.804
0.152 0.501 0.348
0.196 0.348 0.848
0.152 0.804 0.652
0.804 0.652 0.152
0.848 0.499 0.652
0.501 0.348 0.152
```

Calculated values
- N(E_F) (states/eV/f.u.) = 10.27
- magnetic moment (μB per atom) = 0.118
- SG = Im-3 (204)
- theoretical density (Mg/m³) = 6.1
- formation energy (kJ per mole of atoms) = -65.2

***

# 2
A plane-wave DFT calculation with GGA-PBEsol was carried out for a relaxed structure of FeP2W.

```
FeP2W
1.0
3.084 0.000 0.000
0.000 3.084 0.000
0.000 0.000 5.211
Fe P W
1 2 1
Direct
0.500 0.500 0.818
0.000 0.000 0.966
0.500 0.500 0.255
0.000 0.000 0.461
```

Calculated values
- N(E_F) (states/eV/f.u.) = 2.54
- magnetic moment (μB per atom) = 0.399
- SG = P4mm (99)
- theoretical density (Mg/m³) = 10.1
- formation energy (kJ per mole of atoms) = -31.7

***

# 3
A plane-wave DFT calculation with GGA-PBEsol was carried out for a relaxed structure of FePW2.

```
FePW2
1.0
-1.079 -2.534 -0.818
-0.351 -0.997 3.552
-3.976 3.161 0.494
Fe P W
1 1 2
Direct
0.811 0.000 0.621
0.689 0.500 0.377
0.083 0.000 0.167
0.423 0.500 0.846
```

Calculated values
- N(E_F) (states/eV/f.u.) = 2.93
- magnetic moment (μB per atom) = 0.001
- SG = Amm2 (38)
- theoretical density (Mg/m³) = 14.5
- formation energy (kJ per mole of atoms) = -9.8

***

# 4
A plane-wave DFT calculation with GGA-PBEsol was carried out for a relaxed structure of FePW2.

```
FePW2
1.0
-0.339 -2.669 0.549
2.414 -0.337 -1.263
3.288 0.830 6.064
Fe P W
1 1 2
Direct
0.000 0.000 0.454
0.500 0.500 0.286
0.000 0.000 0.034
0.500 0.500 0.726
```

Calculated values
- N(E_F) (states/eV/f.u.) = 4.07
- magnetic moment (μB per atom) = 0.001
- SG = Cmm2 (35)
- theoretical density (Mg/m³) = 14.5
- formation energy (kJ per mole of atoms) = -0.1

***

# 5
A plane-wave DFT calculation with GGA-PBEsol was carried out for a relaxed structure of YFeP2.

```
YFeP2
1.0
-3.289 1.626 2.525
-3.722 -2.369 0.605
-0.862 -1.816 3.974
Fe P Y
1 2 1
Direct
0.000 0.000 0.000
0.250 0.250 0.250
0.750 0.750 0.750
0.500 0.500 0.500
```

Calculated values
- N(E_F) (states/eV/f.u.) = 4.07
- magnetic moment (μB per atom) = 0.393
- SG = Fm-3m (225)
- theoretical density (Mg/m³) = 5.5
- formation energy (kJ per mole of atoms) = -34.5
- excess energy over the best structure of this formula in the dataset (meV per atom) = 564.9

***

# 6
A plane-wave DFT calculation with GGA-PBEsol was carried out for a relaxed structure of YFe4P2.

```
YFe4P2
1.0
3.532 0.000 0.000
0.000 6.944 0.000
0.000 0.000 6.944
Fe P Y
8 4 2
Direct
0.000 0.078 0.346
0.000 0.922 0.654
0.500 0.154 0.578
0.500 0.846 0.422
0.500 0.422 0.846
0.500 0.578 0.154
0.000 0.346 0.078
0.000 0.654 0.922
0.000 0.222 0.778
0.000 0.778 0.222
0.500 0.722 0.722
0.500 0.278 0.278
0.500 0.000 0.000
0.000 0.500 0.500
```

Calculated values
- N(E_F) (states/eV/f.u.) = 5.96
- magnetic moment (μB per atom) = 0.297
- SG = P4_2/mnm (136)
- theoretical density (Mg/m³) = 7.3
- formation energy (kJ per mole of atoms) = -75.9